# PbAu2N

A relaxed structure of PbAu2N (PBE, Alexandria via LeMat-Bulk).

Cell and atoms, written as CIF:
```
data_PbAu2N
_chemical_formula_sum 'Pb4 Au8 N4'
_cell_length_a 5.541
_cell_length_b 5.541
_cell_length_c 11.972
_cell_angle_alpha 90.00
_cell_angle_beta 90.00
_cell_angle_gamma 90.00
_space_group_name_H-M_alt 'I -4 2 d'
_space_group_IT_number 122
_space_group_name_Hall 'I -4 2bw'
loop_
_atom_site_label
_atom_site_type_symbol
_atom_site_fract_x
_atom_site_fract_y
_atom_site_fract_z
Pb1 Pb 0.000 0.000 0.000
Au1 Au 0.038 0.250 0.625
N1 N 0.000 0.000 0.500
```

## Properties
**ΔE_f (raw)**: 2.4 eV per formula unit
**Polymorph energy (0 for the lowest one)**: 0 meV/atom

=====

# Pu2MnRe

A relaxed structure of Pu2MnRe (PBE, Alexandria via LeMat-Bulk).

Cell and atoms, written as CIF:
```
data_Pu2MnRe
_chemical_formula_sum 'Pu2 Mn1 Re1'
_cell_length_a 3.427
_cell_length_b 3.427
_cell_length_c 6.448
_cell_angle_alpha 90.00
_cell_angle_beta 90.00
_cell_angle_gamma 90.00
_space_group_name_H-M_alt 'P 4/m m m'
_space_group_IT_number 123
_space_group_name_Hall '-P 4 2'
loop_
_atom_site_label
_atom_site_type_symbol
_atom_site_fract_x
_atom_site_fract_y
_atom_site_fract_z
Pu1 Pu 0.000 0.000 0.243
Mn1 Mn 0.500 0.500 0.000
Re1 Re 0.500 0.500 0.500
```

## Properties
**Formation energy from the elements**: 180 meV/atom
**Polymorph energy (0 for the lowest one)**: 0 meV/atom

=====

# PrDy2Al3

A relaxed structure of PrDy2Al3 (PBE, Alexandria via LeMat-Bulk).

Cell and atoms, written as CIF:
```
data_PrDy2Al3
_chemical_formula_sum 'Pr1 Dy2 Al3'
_cell_length_a 3.636
_cell_length_b 3.636
_cell_length_c 11.053
_cell_angle_alpha 90.00
_cell_angle_beta 90.00
_cell_angle_gamma 90.00
_space_group_name_H-M_alt 'P 4/m m m'
_space_group_IT_number 123
_space_group_name_Hall '-P 4 2'
loop_
_atom_site_label
_atom_site_type_symbol
_atom_site_fract_x
_atom_site_fract_y
_atom_site_fract_z
Pr1 Pr 0.000 0.000 0.000
Dy1 Dy 0.000 0.000 0.339
Al1 Al 0.500 0.500 0.181
Al2 Al 0.500 0.500 0.500
```

## Properties
**Formation energy from the elements**: -379 meV/atom
**Polymorph energy (0 for the lowest one)**: 0 meV/atom

=====

# Dy2Al2NiPt5

A relaxed structure of Dy2Al2NiPt5 (PBE, Alexandria via LeMat-Bulk).

Cell and atoms, written as CIF:
```
data_Dy2Al2NiPt5
_chemical_formula_sum 'Dy4 Al4 Ni2 Pt10'
_cell_length_a 9.698
_cell_length_b 9.698
_cell_length_c 3.656
_cell_angle_alpha 90.00
_cell_angle_beta 90.00
_cell_angle_gamma 90.00
_space_group_name_H-M_alt 'P 4/m b m'
_space_group_IT_number 127
_space_group_name_Hall '-P 4 2ab'
loop_
_atom_site_label
_atom_site_type_symbol
_atom_site_fract_x
_atom_site_fract_y
_atom_site_fract_z
Dy1 Dy 0.176 0.324 0.000
Al1 Al 0.124 0.624 0.000
Ni1 Ni 0.000 0.000 0.000
Pt1 Pt 0.000 0.500 0.500
Pt2 Pt 0.063 0.800 0.500
```

## Properties
**Formation energy from the elements**: -879 meV/atom

=====

# In2CuAu

A relaxed structure of In2CuAu (PBE, Alexandria via LeMat-Bulk).

Cell and atoms, written as CIF:
```
data_In2CuAu
_chemical_formula_sum 'In4 Cu2 Au2'
_cell_length_a 5.791
_cell_length_b 7.620
_cell_length_c 3.595
_cell_angle_alpha 90.00
_cell_angle_beta 90.00
_cell_angle_gamma 90.00
_space_group_name_H-M_alt 'C m m m'
_space_group_IT_number 65
_space_group_name_Hall '-C 2 2'
loop_
_atom_site_label
_atom_site_type_symbol
_atom_site_fract_x
_atom_site_fract_y
_atom_site_fract_z
In1 In 0.250 0.250 0.000
Cu1 Cu 0.000 0.000 0.500
Au1 Au 0.000 0.500 0.500
```

## Properties
**Formation energy from the elements**: 22 meV/atom

=====

# Al6V2Pd

A relaxed structure of Al6V2Pd (PBE, Alexandria via LeMat-Bulk).

Cell and atoms, written as CIF:
```
data_Al6V2Pd
_chemical_formula_sum 'Al12 V4 Pd2'
_cell_length_a 7.128
_cell_length_b 13.726
_cell_length_c 2.867
_cell_angle_alpha 90.00
_cell_angle_beta 90.00
_cell_angle_gamma 90.00
_space_group_name_H-M_alt 'C m m m'
_space_group_IT_number 65
_space_group_name_Hall '-C 2 2'
loop_
_atom_site_label
_atom_site_type_symbol
_atom_site_fract_x
_atom_site_fract_y
_atom_site_fract_z
Al1 Al 0.185 0.000 0.000
Al2 Al 0.186 0.338 0.500
V1 V 0.000 0.188 0.000
Pd1 Pd 0.000 0.500 0.500
```

## Properties
**Formation energy from the elements**: -200 meV/atom

=====

# Zr2PaTc3

A relaxed structure of Zr2PaTc3 (PBE, Alexandria via LeMat-Bulk).

Cell and atoms, written as CIF:
```
data_Zr2PaTc3
_chemical_formula_sum 'Zr2 Pa1 Tc3'
_cell_length_a 3.358
_cell_length_b 3.358
_cell_length_c 9.943
_cell_angle_alpha 90.00
_cell_angle_beta 90.00
_cell_angle_gamma 90.00
_space_group_name_H-M_alt 'P 4/m m m'
_space_group_IT_number 123
_space_group_name_Hall '-P 4 2'
loop_
_atom_site_label
_atom_site_type_symbol
_atom_site_fract_x
_atom_site_fract_y
_atom_site_fract_z
Zr1 Zr 0.000 0.000 0.160
Pa1 Pa 0.000 0.000 0.500
Tc1 Tc 0.500 0.500 0.000
Tc2 Tc 0.500 0.500 0.340
```

## Properties
**Formation energy from the elements**: -341 meV/atom
**Polymorph energy (0 for the lowest one)**: 26 meV/atom

=====

# La2PrMg

A relaxed structure of La2PrMg (PBE, Alexandria via LeMat-Bulk).

Cell and atoms, written as CIF:
```
data_La2PrMg
_chemical_formula_sum 'La8 Pr4 Mg4'
_cell_length_a 5.388
_cell_length_b 5.388
_cell_length_c 18.574
_cell_angle_alpha 90.00
_cell_angle_beta 90.00
_cell_angle_gamma 90.00
_space_group_name_H-M_alt 'I 4/m m m'
_space_group_IT_number 139
_space_group_name_Hall '-I 4 2'
loop_
_atom_site_label
_atom_site_type_symbol
_atom_site_fract_x
_atom_site_fract_y
_atom_site_fract_z
La1 La 0.000 0.000 0.135
La2 La 0.000 0.500 0.000
Pr1 Pr 0.000 0.000 0.362
Mg1 Mg 0.000 0.500 0.250
```

## Properties
**Formation energy from the elements**: -48 meV/atom
**Polymorph energy (0 for the lowest one)**: 0 meV/atom

=====

# Si2AsPt

A relaxed structure of Si2AsPt (PBE, Alexandria via LeMat-Bulk).

Cell and atoms, written as CIF:
```
data_Si2AsPt
_chemical_formula_sum 'Si4 As2 Pt2'
_cell_length_a 5.601
_cell_length_b 7.172
_cell_length_c 3.163
_cell_angle_alpha 90.00
_cell_angle_beta 90.00
_cell_angle_gamma 90.00
_space_group_name_H-M_alt 'C m m m'
_space_group_IT_number 65
_space_group_name_Hall '-C 2 2'
loop_
_atom_site_label
_atom_site_type_symbol
_atom_site_fract_x
_atom_site_fract_y
_atom_site_fract_z
Si1 Si 0.250 0.250 0.000
As1 As 0.000 0.000 0.500
Pt1 Pt 0.000 0.500 0.500
```

## Properties
**ΔE_f (raw)**: 0.8 eV per formula unit

=====

# Ac4Pr2Tm

A relaxed structure of Ac4Pr2Tm (PBE, Alexandria via LeMat-Bulk).

Cell and atoms, written as CIF:
```
data_Ac4Pr2Tm
_chemical_formula_sum 'Ac32 Pr16 Tm8'
_cell_length_a 8.940
_cell_length_b 20.718
_cell_length_c 12.622
_cell_angle_alpha 90.00
_cell_angle_beta 90.00
_cell_angle_gamma 90.00
_space_group_name_H-M_alt 'F d d 2'
_space_group_IT_number 43
_space_group_name_Hall 'F 2 -2d'
loop_
_atom_site_label
_atom_site_type_symbol
_atom_site_fract_x
_atom_site_fract_y
_atom_site_fract_z
Ac1 Ac 0.120 0.339 0.000
Ac2 Ac 0.124 0.330 0.481
Pr1 Pr 0.086 0.268 0.744
Tm1 Tm 0.000 0.000 0.985
```

## Properties
**Formation energy from the elements**: 241 meV/atom

=====

# NaPrAg2

A relaxed structure of NaPrAg2 (PBE, Alexandria via LeMat-Bulk).

Cell and atoms, written as CIF:
```
data_NaPrAg2
_chemical_formula_sum 'Na4 Pr4 Ag8'
_cell_length_a 7.361
_cell_length_b 7.361
_cell_length_c 7.361
_cell_angle_alpha 90.00
_cell_angle_beta 90.00
_cell_angle_gamma 90.00
_space_group_name_H-M_alt 'F m -3 m'
_space_group_IT_number 225
_space_group_name_Hall '-F 4 2 3'
loop_
_atom_site_label
_atom_site_type_symbol
_atom_site_fract_x
_atom_site_fract_y
_atom_site_fract_z
Na1 Na 0.000 0.000 0.000
Pr1 Pr 0.000 0.000 0.500
Ag1 Ag 0.250 0.250 0.250
```

## Properties
**Formation energy from the elements**: -118 meV/atom
**Polymorph energy (0 for the lowest one)**: 0 meV/atom

=====

# YTa2Mo2

A relaxed structure of YTa2Mo2 (PBE, Alexandria via LeMat-Bulk).

Cell and atoms, written as CIF:
```
data_YTa2Mo2
_chemical_formula_sum 'Y2 Ta4 Mo4'
_cell_length_a 7.883
_cell_length_b 7.883
_cell_length_c 3.165
_cell_angle_alpha 90.00
_cell_angle_beta 90.00
_cell_angle_gamma 90.00
_space_group_name_H-M_alt 'P 4/m b m'
_space_group_IT_number 127
_space_group_name_Hall '-P 4 2ab'
loop_
_atom_site_label
_atom_site_type_symbol
_atom_site_fract_x
_atom_site_fract_y
_atom_site_fract_z
Y1 Y 0.000 0.000 0.000
Ta1 Ta 0.143 0.357 0.500
Mo1 Mo 0.148 0.648 0.000
```

## Properties
**Formation energy from the elements**: 299 meV/atom
**Polymorph energy (0 for the lowest one)**: 0 meV/atom